(1)
A relaxed structure of LiGaO3, computed with PBE-GGA.

Cell lengths 3.531, 3.531, 3.531 Å; angles 90.00, 90.00, 90.00 degrees
Fractional coordinates of all 5 atoms:
O1 0.000 0.000 0.500
O2 0.500 0.000 0.000
O3 0.000 0.500 0.000
Li1 0.000 0.000 0.000
Ga1 0.500 0.500 0.500

Calculated values
- Raw formation energy: -0.158 eV per atom

***

(2)
A relaxed structure of NaTl2HgBr6, computed with PBE-GGA.

Cell lengths 7.642, 7.640, 8.215 Å; angles 62.29, 62.29, 60.01 degrees
Fractional coordinates of all 10 atoms:
Br1 0.602 0.208 0.268
Br2 0.088 0.477 0.750
Br3 0.685 0.088 0.750
Br4 0.208 0.922 0.268
Br5 0.922 0.602 0.268
Br6 0.477 0.685 0.750
Hg1 0.825 0.825 0.525
Tl1 0.026 0.026 0.920
Tl2 0.513 0.513 0.460
Na1 0.314 0.314 0.058

Calculated values
- Raw formation energy: -0.733 eV per atom

***

(3)
A relaxed structure of PuZnCuAg, computed with PBE-GGA.

Cell lengths 4.781, 4.781, 4.781 Å; angles 60.00, 60.00, 60.00 degrees
Fractional coordinates of all 4 atoms:
Cu1 0.250 0.250 0.250
Pu1 0.500 0.500 0.500
Ag1 0.000 0.000 0.000
Zn1 0.750 0.750 0.750

Calculated values
- VASP energy: -22.2 eV/cell

***

(4)
A relaxed structure of NiAsPb, computed with PBE-GGA.

Cell lengths 4.422, 4.422, 4.422 Å; angles 60.00, 60.00, 60.00 degrees
Fractional coordinates of all 3 atoms:
Ni1 0.750 0.750 0.750
Pb1 0.000 0.000 0.000
As1 0.500 0.500 0.500

Calculated values
- VASP energy: -13.9 eV/cell

***

(5)
A relaxed structure of SrAg2Ir, computed with PBE-GGA.

Cell lengths 5.316, 5.316, 5.316 Å; angles 131.41, 131.41, 71.16 degrees
Fractional coordinates of all 4 atoms:
Ag1 0.250 0.750 0.500
Ag2 0.000 0.000 0.000
Sr1 0.750 0.250 0.500
Ir1 0.500 0.500 0.000

Calculated values
- Energy above the lowest structure with this stoichiometry: 0.1488 eV/atom

***

(6)
A relaxed structure of Ta2TeOs, computed with PBE-GGA.

Cell lengths 5.611, 5.611, 7.934 Å; angles 69.29, 69.29, 90.00 degrees
Fractional coordinates of all 8 atoms:
Ta1 0.375 0.321 0.750
Ta2 0.875 0.929 0.750
Ta3 0.071 0.625 0.250
Ta4 0.679 0.125 0.250
Te1 0.500 0.500 0.000
Te2 0.250 0.750 0.500
Os1 0.000 0.000 0.000
Os2 0.750 0.250 0.500

Calculated values
- Raw formation energy: 0.924 eV per atom

***

(7)
A relaxed structure of SmGa4Ir2Os, computed with PBE-GGA.

Cell lengths 4.265, 4.265, 8.996 Å; angles 76.29, 76.29, 60.00 degrees
Fractional coordinates of all 8 atoms:
Ga1 0.868 0.868 0.396
Ga2 0.599 0.599 0.202
Ga3 0.401 0.401 0.798
Ga4 0.132 0.132 0.604
Ir1 0.238 0.238 0.285
Ir2 0.762 0.762 0.715
Sm1 0.000 0.000 0.000
Os1 0.500 0.500 0.500

Calculated values
- VASP energy: -49.1 eV/cell

***

(8)
A relaxed structure of TbPr2Nd3, computed with PBE-GGA.

Cell lengths 6.825, 9.198, 6.825 Å; angles 82.32, 84.74, 97.68 degrees
Fractional coordinates of all 12 atoms:
Nd1 0.416 0.750 0.416
Nd2 0.168 0.000 0.665
Nd3 0.665 0.500 0.168
Nd4 0.335 0.500 0.832
Nd5 0.584 0.250 0.584
Nd6 0.832 0.000 0.335
Pr1 0.878 0.624 0.627
Pr2 0.627 0.876 0.878
Pr3 0.122 0.376 0.373
Pr4 0.373 0.124 0.122
Tb1 0.083 0.750 0.083
Tb2 0.917 0.250 0.917

Calculated values
- Energy above the lowest structure with this stoichiometry: 0.0000 eV/atom